[1]
VASP calculation (SCAN) on a crystal of ScMoOs2 relaxed with PBEsol.

a = 3.003 Å, b = 4.553 Å, c = 9.024 Å
α = 90.00°, β = 90.00°, γ = 90.00°
Space group Cmm2 (No. 35)
Unique sites:
Sc 0.000 0.000 0.000 [2 per cell]
Mo 0.000 0.500 0.269 [2 per cell]
Os 0.000 0.000 0.506 [2 per cell]
Os 0.000 0.500 0.755 [2 per cell]

Summary:
D(E_F) = 4.32 states/eV/f.u.
Formation enthalpy at 0 K = 0.34 eV per atom



[2]
VASP calculation (SCAN) on a crystal of MoPb3Cl2O5 relaxed with PBEsol.

a = 5.575 Å, b = 12.958 Å, c = 10.991 Å
α = 90.00°, β = 90.00°, γ = 90.00°
Space group Cmcm (No. 63)
Unique sites:
Mo 0.000 0.234 0.250 [4 per cell]
Pb 0.000 0.101 0.750 [4 per cell]
Pb 0.000 0.350 0.532 [8 per cell]
Cl 0.000 0.000 0.000 [4 per cell]
Cl 0.000 0.478 0.250 [4 per cell]
O 0.000 0.104 0.250 [4 per cell]
O 0.234 0.271 0.130 [16 per cell]

Summary:
D(E_F) = 0.00 states/eV/f.u.
Final energy = -29.7531 eV/atom



[3]
VASP calculation (SCAN) on a crystal of TlSbPb2 relaxed with PBEsol.

a = 7.727 Å, b = 7.727 Å, c = 7.727 Å
α = 90.00°, β = 90.00°, γ = 90.00°
Space group Fm-3m (No. 225)
Unique sites:
Tl 0.000 0.000 0.000 [4 per cell]
Sb 0.000 0.000 0.500 [4 per cell]
Pb 0.250 0.250 0.250 [8 per cell]

Summary:
D(E_F) = 2.24 states/eV/f.u.
Polymorph energy (0 for the lowest one) = 0.054 eV/atom



[4]
VASP calculation (SCAN) on a crystal of MnRhBr2 relaxed with PBEsol.

a = 3.248 Å, b = 3.248 Å, c = 6.498 Å
α = 90.00°, β = 90.00°, γ = 90.00°
Space group P4/mmm (No. 123)
Unique sites:
Mn 0.000 0.000 0.000 [1 per cell]
Rh 0.000 0.000 0.500 [1 per cell]
Br 0.500 0.500 0.247 [2 per cell]

Summary:
D(E_F) = 3.65 states/eV/f.u.
Polymorph energy (0 for the lowest one) = 0.574 eV/atom



[5]
VASP calculation (SCAN) on a crystal of ZrMnSbSe2 relaxed with PBEsol.

a = 5.234 Å, b = 5.234 Å, c = 5.444 Å
α = 90.00°, β = 90.00°, γ = 90.00°
Space group P4/mmm (No. 123)
Unique sites:
Zr 0.000 0.000 0.000 [1 per cell]
Mn 0.500 0.500 0.000 [1 per cell]
Sb 0.000 0.000 0.500 [1 per cell]
Se 0.000 0.500 0.500 [2 per cell]

Summary:
D(E_F) = 2.69 states/eV/f.u.
Final energy = -24.5484 eV/atom



[6]
VASP calculation (SCAN) on a crystal of NaMoAs3 relaxed with PBEsol.

a = 4.887 Å, b = 4.887 Å, c = 4.887 Å
α = 90.00°, β = 90.00°, γ = 90.00°
Space group Pm-3m (No. 221)
Unique sites:
Na 0.000 0.000 0.000 [1 per cell]
Mo 0.500 0.500 0.500 [1 per cell]
As 0.000 0.500 0.500 [3 per cell]

Summary:
D(E_F) = 2.88 states/eV/f.u.
Formation enthalpy at 0 K = 0.14 eV per atom



[7]
VASP calculation (SCAN) on a crystal of Pr2In relaxed with PBEsol.

a = 5.4994 Å, b = 5.4994 Å, c = 6.8671 Å
α = 90.00°, β = 90.00°, γ = 120.00°
Space group P6_3/mmc (No. 194)
Unique sites:
Pr 0.0000 0.0000 0.0000 [2 per cell]
Pr 0.3333 0.6667 0.2500 [2 per cell]
In 0.3333 0.6667 0.7500 [2 per cell]

Summary:
D(E_F) = 3.62 states/eV/f.u.
Formation enthalpy at 0 K = -0.49 eV per atom



[8]
VASP calculation (SCAN) on a crystal of MgZr2Al2 relaxed with PBEsol.

a = 4.234 Å, b = 4.234 Å, c = 12.437 Å
α = 90.00°, β = 90.00°, γ = 90.00°
Space group I4/mmm (No. 139)
Unique sites:
Mg 0.000 0.000 0.000 [2 per cell]
Zr 0.000 0.500 0.250 [4 per cell]
Al 0.000 0.000 0.401 [4 per cell]

Summary:
D(E_F) = 4.50 states/eV/f.u.
Formation enthalpy at 0 K = 0.15 eV per atom



[9]
VASP calculation (SCAN) on a crystal of BeCu2Mo relaxed with PBEsol.

a = 2.500 Å, b = 4.249 Å, c = 8.647 Å
α = 90.00°, β = 90.00°, γ = 90.00°
Space group Immm (No. 71)
Unique sites:
Be 0.000 0.000 0.000 [2 per cell]
Cu 0.000 0.500 0.279 [4 per cell]
Mo 0.000 0.000 0.500 [2 per cell]

Summary:
D(E_F) = 2.16 states/eV/f.u.
Formation enthalpy at 0 K = 0.15 eV per atom



[10]
VASP calculation (SCAN) on a crystal of KIn4Br relaxed with PBEsol.

a = 8.881 Å, b = 8.881 Å, c = 8.881 Å
α = 90.00°, β = 90.00°, γ = 90.00°
Space group F-43m (No. 216)
Unique sites:
K 0.000 0.000 0.000 [4 per cell]
In 0.125 0.125 0.375 [16 per cell]
Br 0.250 0.250 0.750 [4 per cell]

Summary:
D(E_F) = 3.87 states/eV/f.u.
Final energy = -27.0913 eV/atom



[11]
VASP calculation (SCAN) on a crystal of K3NaCr2O8 relaxed with PBEsol.

a = 5.8126 Å, b = 5.8126 Å, c = 7.4852 Å
α = 90.00°, β = 90.00°, γ = 120.00°
Space group P-3m1 (No. 164)
Unique sites:
K 0.0000 0.0000 0.0000 [1 per cell]
K 0.3333 0.6667 0.3370 [2 per cell]
Na 0.0000 0.0000 0.5000 [1 per cell]
Cr 0.3333 0.6667 0.7763 [2 per cell]
O 0.1796 0.3591 0.6985 [6 per cell]
O 0.3333 0.6667 0.9937 [2 per cell]

Summary:
D(E_F) = 0.00 states/eV/f.u.
Final energy = -10.4448 eV/atom



[12]
VASP calculation (SCAN) on a crystal of CaZnHg2 relaxed with PBEsol.

a = 4.727 Å, b = 4.760 Å, c = 7.594 Å
α = 90.00°, β = 90.00°, γ = 90.00°
Space group Imm2 (No. 44)
Unique sites:
Ca 0.000 0.000 0.000 [2 per cell]
Zn 0.000 0.500 0.249 [2 per cell]
Hg 0.000 0.000 0.502 [2 per cell]
Hg 0.000 0.500 0.751 [2 per cell]

Summary:
D(E_F) = 1.40 states/eV/f.u.
Formation enthalpy at 0 K = -0.31 eV per atom